Record 1
CeN2Cl4 after structural relaxation. Source: Alexandria via LeMat-Bulk, functional PBE-GGA.

Output
As for the total energy: -4.111 eV per atom. Its spin magnetization is 6.00 μB/f.u.

abc: 4.9960 4.9960 33.7396
angles: 90.00 90.00 120.00
With the nearest neighbours (Å) after each atom.
Space group R-3m (No. 166, hexagonal axes)
Unique sites:
1 Ce 0.0000 0.0000 0.0000  2 Cl 2.51
2 N 0.0000 0.0000 0.2022  3 Cl 3.46, 3 N 3.75
3 Cl 0.0000 0.0000 0.0743  1 Ce 2.51
4 Cl 0.0000 0.0000 0.3182  3 Ce 2.93, 3 Cl 3.06

=====

Record 2
CeNCl after structural relaxation. Source: Alexandria via LeMat-Bulk, functional PBE-GGA.

Output
As for the total energy: -6.619 eV per atom. Its spin magnetization is 0.00 μB/f.u.

abc: 3.3510 3.3510 10.4974
angles: 90.00 90.00 90.00
With the nearest neighbours (Å) after each atom.
Space group I4mm (No. 107)
Unique sites:
1 Ce 0.0000 0.0000 0.0000  4 N 2.39
2 N 0.0000 0.0000 0.5330  4 Ce 2.39
3 Cl 0.0000 0.0000 0.2655  1 Ce 2.79, 1 N 2.81

=====

Record 3
CeNCl after structural relaxation. Source: Alexandria via LeMat-Bulk, functional PBE-GGA.

Output
As for the total energy: -7.040 eV per atom. Its spin magnetization is 0.15 μB/f.u.

abc: 4.2167 4.2167 12.7453
angles: 90.00 90.00 90.00
With the nearest neighbours (Å) after each atom.
Space group I4/mmm (No. 139)
Unique sites:
1 Ce 0.0000 0.0000 0.1667  4 N 2.36
2 N 0.0000 0.5000 0.2500  4 Ce 2.36
3 Cl 0.0000 0.5000 0.0000  4 Cl 2.98, 4 Ce 2.99, 2 N 3.19

=====

Record 4
Ce3N3Cl after structural relaxation. Source: Alexandria via LeMat-Bulk, functional PBE-GGA.

Output
As for the total energy: -8.004 eV per atom. Its spin magnetization is 2.09 μB/f.u.

abc: 6.8491 6.8491 21.3449
angles: 90.00 90.00 120.00
With the nearest neighbours (Å) after each atom.
Space group R-3 (No. 148, hexagonal axes)
Unique sites:
1 Ce 0.0018 0.6626 0.3976  4 N 2.30-2.34
2 N 0.0030 0.6747 0.6231  4 Ce 2.30-2.34
3 Cl 0.0000 0.0000 0.1669  6 Ce 3.14-3.16, 6 N 3.49-3.50

=====

Record 5
Ce2NCl after structural relaxation. Source: Alexandria via LeMat-Bulk, functional PBE-GGA.

Output
As for the total energy: -7.034 eV per atom. Its spin magnetization is 2.00 μB/f.u.

abc: 3.5730 3.5730 21.8202
angles: 90.00 90.00 120.00
With the nearest neighbours (Å) after each atom.
Space group R3m (No. 160, hexagonal axes)
Unique sites:
1 Ce 0.0000 0.0000 0.0000  3 N 2.50
2 Ce 0.0000 0.0000 0.2064  3 N 2.47
3 N 0.0000 0.0000 0.6017  6 Ce 2.47-2.50
4 Cl 0.0000 0.0000 0.4345  6 Ce 3.02-3.09

=====

Record 6
Ce2N2Cl after structural relaxation. Source: Alexandria via LeMat-Bulk, functional PBE-GGA.

Output
Its energy above the most stable polymorph in this dataset is 0.082 eV/atom. As for the total energy: -7.772 eV per atom. Its spin magnetization is 1.05 μB/f.u.

abc: 5.7778 5.7231 6.7742
angles: 90.00 100.56 90.00
With the nearest neighbours (Å) after each atom.
Space group C2/m (No. 12)
Unique sites:
1 Ce 0.2199 0.0000 0.3406  4 N 2.28-2.31
2 N 0.0000 0.2504 0.5000  4 Ce 2.28-2.31
3 Cl 0.0000 0.5000 0.0000  2 Ce 3.05

=====

Record 7
CeN2Cl3 after structural relaxation. Source: Alexandria via LeMat-Bulk, functional PBE-GGA.

Output
As for the total energy: -4.405 eV per atom. Its spin magnetization is 7.03 μB/f.u.

abc: 18.2039 5.5396 8.4699
angles: 90.00 90.00 90.00
With the nearest neighbours (Å) after each atom.
Space group Cmcm (No. 63)
Unique sites:
1 Ce 0.0000 0.0001 0.2500  6 Cl 2.77-2.78
2 N 0.1891 0.4979 0.2500  3 Cl 3.44-3.84, 2 N 3.55
3 Cl 0.0000 0.5001 0.2500  2 Ce 2.77
4 Cl 0.0991 0.0000 0.0000  2 Ce 2.78

=====

Record 8
CeNCl after structural relaxation. Source: Alexandria via LeMat-Bulk, functional PBE-GGA.

Output
As for the total energy: -6.970 eV per atom. Its spin magnetization is 0.00 μB/f.u.

abc: 3.8216 3.8216 4.6456
angles: 90.00 90.00 120.00
With the nearest neighbours (Å) after each atom.
Space group P-6m2 (No. 187)
Unique sites:
1 Ce 0.0000 0.0000 0.0000  3 N 2.21
2 N 0.6667 0.3333 0.0000  3 Ce 2.21
3 Cl 0.3333 0.6667 0.5000  6 Ce 3.20, 6 N 3.20

=====

Record 9
Ce2NCl3 after structural relaxation. Source: Alexandria via LeMat-Bulk, functional PBE-GGA.

Output
As for the total energy: -6.314 eV per atom. Its spin magnetization is 2.00 μB/f.u.

abc: 6.8771 13.7675 6.0827
angles: 90.00 90.00 90.00
With the nearest neighbours (Å) after each atom.
Space group Ibam (No. 72)
Unique sites:
1 Ce 0.1749 0.0936 0.0000  2 N 2.33
2 N 0.0000 0.0000 0.2500  4 Ce 2.33
3 Cl 0.0000 0.5000 0.2500  4 Ce 3.00, 2 Cl 3.04
4 Cl 0.1818 0.1992 0.5000  2 Ce 2.85-3.02

=====

Record 10
Ce6N2Cl3O after structural relaxation. Source: Alexandria via LeMat-Bulk, functional PBE-GGA.

Output
As for the total energy: -6.970 eV per atom. Its spin magnetization is 1.93 μB/f.u.

abc: 6.2020 10.7420 7.2869
angles: 90.00 106.49 90.00
With the nearest neighbours (Å) after each atom.
Space group C2/m (No. 12)
Unique sites:
1 Ce 0.2300 0.0000 0.1973  2 N 2.48, 1 O 2.50
2 Ce 0.2336 0.3321 0.1970  2 N 2.48, 1 O 2.50
3 N 0.0000 0.1666 0.0000  6 Ce 2.48
4 Cl 0.0000 0.0000 0.5000  6 Ce 2.95-2.96
5 Cl 0.0000 0.3326 0.5000  6 Ce 2.94-2.97
6 O 0.0000 0.5000 0.0000  6 Ce 2.50

=====

Record 11
Ce6OsN2Cl3 after structural relaxation. Source: Alexandria via LeMat-Bulk, functional PBE-GGA.

Output
As for the total energy: -7.018 eV per atom. Its spin magnetization is 3.94 μB/f.u.

abc: 18.1246 3.6909 8.4522
angles: 90.00 112.08 90.00
With the nearest neighbours (Å) after each atom.
Space group C2/m (No. 12)
Unique sites:
1 Ce 0.0247 0.0000 0.2509  1 N 2.50, 2 Os 2.72
2 Ce 0.1670 0.5000 0.1393  2 N 2.52, 1 Os 2.80
3 Ce 0.1820 0.5000 0.5580  3 N 2.44-2.53
4 Os 0.0000 0.5000 0.0000  6 Ce 2.72-2.80
5 N 0.1729 0.0000 0.3459  6 Ce 2.44-2.53
6 Cl 0.0000 0.5000 0.5000  6 Ce 2.96-3.15
7 Cl 0.1622 0.0000 0.8348  6 Ce 3.02-3.19

=====

Record 12
Ce4OsNCl2 after structural relaxation. Source: Alexandria via LeMat-Bulk, functional PBE-GGA.

Output
As for the total energy: -7.002 eV per atom. Its spin magnetization is 3.29 μB/f.u.

abc: 6.6526 3.8040 7.6336
angles: 90.00 107.07 90.00
With the nearest neighbours (Å) after each atom.
Space group P2/m (No. 10)
Unique sites:
1 Ce 0.2144 0.0000 0.1961  2 N 2.58, 1 Os 2.74
2 Ce 0.2278 0.5000 0.7986  1 N 2.46
3 Os 0.5000 0.0000 0.0000  6 Ce 2.74-2.76
4 N 0.0000 0.5000 0.0000  6 Ce 2.46-2.58
5 Cl 0.0000 0.0000 0.5000  6 Ce 3.01-3.06
6 Cl 0.5000 0.5000 0.5000  6 Ce 3.17-3.30

=====

Record 13
CePN2Cl after structural relaxation. Source: Alexandria via LeMat-Bulk, functional PBE-GGA.

Output
As for the total energy: -7.067 eV per atom. Its spin magnetization is 0.15 μB/f.u.

abc: 5.5866 3.5561 8.8205
angles: 90.00 108.41 90.00
With the nearest neighbours (Å) after each atom.
Space group P2_1/m (No. 11)
Unique sites:
1 Ce 0.1313 0.2500 0.2634  4 N 2.36
2 P 0.4556 0.2500 0.9111  2 N 1.61
3 N 0.1566 0.2500 0.8226  1 P 1.61
4 N 0.3336 0.7500 0.1775  1 P 1.61
5 Cl 0.2661 0.7500 0.5324  2 Ce 2.87

=====

Record 14
CePmNCl after structural relaxation. Source: Alexandria via LeMat-Bulk, functional PBE-GGA.

Output
As for the total energy: -6.747 eV per atom. Its spin magnetization is 1.05 μB/f.u.

abc: 3.6033 3.6033 21.6213
angles: 90.00 90.00 120.00
With the nearest neighbours (Å) after each atom.
Space group R3m (No. 160, hexagonal axes)
Unique sites:
1 Ce 0.0000 0.0000 0.0000  3 N 2.47
2 Pm 0.0000 0.0000 0.7932  3 N 2.51
3 N 0.0000 0.0000 0.3949  3 Ce 2.47, 3 Pm 2.51
4 Cl 0.0000 0.0000 0.5597  3 Pm 3.00, 3 Ce 3.11

=====

Record 15
CePr2N2Cl2 after structural relaxation. Source: Alexandria via LeMat-Bulk, functional PBE-GGA.

Output
As for the total energy: -6.513 eV per atom. Its spin magnetization is 1.56 μB/f.u.

abc: 4.5429 4.5429 15.1311
angles: 90.00 90.00 90.00
With the nearest neighbours (Å) after each atom.
Space group I4/mmm (No. 139)
Unique sites:
1 Ce 0.0000 0.0000 0.0000  4 N 2.27
2 Pr 0.0000 0.0000 0.3976  4 N 2.75
3 N 0.0000 0.5000 0.0000  2 Ce 2.27
4 Cl 0.0000 0.0000 0.1925  1 Ce 2.91, 1 Pr 3.10

=====

Record 16
Ce2SNCl2 after structural relaxation. Source: Alexandria via LeMat-Bulk, functional PBE-GGA.

Output
As for the total energy: -6.611 eV per atom. Its spin magnetization is 1.06 μB/f.u.

abc: 3.9399 10.7895 7.1744
angles: 90.00 90.00 90.00
With the nearest neighbours (Å) after each atom.
Space group Pmc2_1 (No. 26)
Unique sites:
1 Ce 0.0000 0.0680 0.0000  2 N 2.46-2.47
2 Ce 0.5000 0.2315 0.3959  2 N 2.30
3 S 0.5000 0.0684 0.6920  5 Ce 2.76-2.96, 2 N 3.08
4 N 0.0000 0.1305 0.3294  4 Ce 2.30-2.47
5 Cl 0.0000 0.3948 0.5288  2 Ce 2.81
6 Cl 0.5000 0.2729 0.0176  3 Ce 2.75-2.96

=====

Record 17
Ce4SN2Cl after structural relaxation. Source: Alexandria via LeMat-Bulk, functional PBE-GGA.

Output
As for the total energy: -7.441 eV per atom. Its spin magnetization is 0.58 μB/f.u.

abc: 6.3733 3.6889 6.9062
angles: 90.00 107.98 90.00
With the nearest neighbours (Å) after each atom.
Space group P2/m (No. 10)
Unique sites:
1 Ce 0.2325 0.0000 0.2052  3 N 2.51-2.53
2 Ce 0.2605 0.5000 0.7911  3 N 2.51-2.54
3 S 0.0000 0.0000 0.5000  6 Ce 2.85-2.86
4 N 0.0000 0.5000 0.0000  6 Ce 2.51
5 N 0.5000 0.0000 0.0000  6 Ce 2.53-2.54
6 Cl 0.5000 0.5000 0.5000  6 Ce 2.88

=====

Record 18
Ce2SeNCl2 after structural relaxation. Source: Alexandria via LeMat-Bulk, functional PBE-GGA.

Output
As for the total energy: -6.428 eV per atom. Its spin magnetization is 1.05 μB/f.u.

abc: 3.9657 10.8842 7.4441
angles: 90.00 90.00 90.00
With the nearest neighbours (Å) after each atom.
Space group Pmc2_1 (No. 26)
Unique sites:
1 Ce 0.0000 0.0768 0.0000  1 N 2.31
2 Ce 0.5000 0.2338 0.3709  2 N 2.31
3 Se 0.5000 0.0766 0.6838  5 Ce 2.89-3.08, 2 N 3.18
4 N 0.0000 0.1382 0.2972  3 Ce 2.31
5 Cl 0.0000 0.3960 0.4966  2 Ce 2.81
6 Cl 0.5000 0.2777 0.0075  3 Ce 2.75-2.95

=====

Record 19
Ce2SmN2Cl2 after structural relaxation. Source: Alexandria via LeMat-Bulk, functional PBE-GGA.

Output
As for the total energy: -6.646 eV per atom. Its spin magnetization is 2.92 μB/f.u.

abc: 4.6293 4.6293 14.5501
angles: 90.00 90.00 90.00
With the nearest neighbours (Å) after each atom.
Space group I4/mmm (No. 139)
Unique sites:
1 Ce 0.0000 0.0000 0.0976  4 N 2.72, 1 Ce 2.84, 1 Cl 3.02
2 Sm 0.0000 0.0000 0.5000  4 N 2.31
3 N 0.0000 0.5000 0.0000  2 Sm 2.31
4 Cl 0.0000 0.0000 0.3053  1 Sm 2.83, 1 Ce 3.02

=====

Record 20
Ce2YN2Cl2 after structural relaxation. Source: Alexandria via LeMat-Bulk, functional PBE-GGA.

Output
As for the total energy: -7.010 eV per atom. Its spin magnetization is 2.96 μB/f.u.

abc: 4.5085 4.5085 14.7014
angles: 90.00 90.00 90.00
With the nearest neighbours (Å) after each atom.
Space group I4/mmm (No. 139)
Unique sites:
1 Ce 0.0000 0.0000 0.0988  4 N 2.68, 1 Ce 2.90
2 Y 0.0000 0.0000 0.5000  4 N 2.25
3 N 0.0000 0.5000 0.0000  2 Y 2.25
4 Cl 0.0000 0.0000 0.3101  1 Y 2.79, 1 Ce 3.11